The following is a DFT calculation (GGA-PBE) of a relaxed KSbAu crystal.

The space group is F-43m (No. 216) and the conventional cell measures 7.3659, 7.3659 and 7.3659 Å, with angles of 90.00, 90.00 and 90.00 degrees. The distinct sites, in fractional coordinates, are K at (0.0000, 0.0000, 0.0000), Sb at (0.2500, 0.2500, 0.2500) and Au at (0.2500, 0.2500, 0.7500).

The calculation puts the energy above the most stable polymorph in this dataset at 0.6395 eV per atom. For the total energy, the calculation gives -2.2844 eV/atom.

=====

The following is a DFT calculation (GGA-PBE) of a relaxed BaErFe crystal.

The space group is F-43m (No. 216) and the conventional cell measures 7.1563, 7.1563 and 7.1563 Å, with angles of 90.00, 90.00 and 90.00 degrees. The distinct sites, in fractional coordinates, are Ba at (0.0000, 0.0000, 0.0000), Er at (0.2500, 0.2500, 0.2500) and Fe at (0.0000, 0.0000, 0.5000).

The calculation puts the total moment at 1.58 μB/f.u. The calculation puts the energy above the most stable polymorph in this dataset at 0.0000 eV per atom. For the total energy, the calculation gives -3.8109 eV/atom.

=====

The following is a DFT calculation (GGA-PBE) of a relaxed LiTbRe crystal.

The space group is F-43m (No. 216) and the conventional cell measures 6.1619, 6.1619 and 6.1619 Å, with angles of 90.00, 90.00 and 90.00 degrees. The distinct sites, in fractional coordinates, are Li at (0.0000, 0.0000, 0.0000), Tb at (0.2500, 0.2500, 0.2500) and Re at (0.2500, 0.2500, 0.7500).

The calculation puts the total moment at 0.76 μB/f.u. For the total energy, the calculation gives -5.3337 eV/atom.

=====

The following is a DFT calculation (GGA-PBE) of a relaxed CsCuH3 crystal.

The space group is R-3m (No. 166, hexagonal axes) and the conventional cell measures 5.9882, 5.9882 and 20.0026 Å, with angles of 90.00, 90.00 and 120.00 degrees. The distinct sites, in fractional coordinates, are Cs at (0.0000, 0.0000, 0.0000), Cs at (0.0000, 0.0000, 0.2129), Cu at (0.0000, 0.0000, 0.3787), Cu at (0.0000, 0.0000, 0.5000), H at (0.0000, 0.5000, 0.0000) and H at (0.0925, 0.5462, 0.2236).

The calculation puts the energy above the most stable polymorph in this dataset at 0.0635 eV per atom. For the total energy, the calculation gives -2.8660 eV/atom.

=====

The following is a DFT calculation (GGA-PBE) of a relaxed Tb2DyCo2B2P3 crystal.

The space group is I4/mmm (No. 139) and the conventional cell measures 3.8717, 3.8717 and 21.8226 Å, with angles of 90.00, 90.00 and 90.00 degrees. The distinct sites, in fractional coordinates, are Tb at (0.0000, 0.0000, 0.1382), Dy at (0.0000, 0.0000, 0.5000), Co at (0.0000, 0.5000, 0.2500), B at (0.0000, 0.0000, 0.2850), P at (0.0000, 0.0000, 0.0000) and P at (0.0000, 0.0000, 0.3752).

The calculation puts the total moment at 0.01 μB/f.u. For the total energy, the calculation gives -6.6552 eV/atom.

=====

The following is a DFT calculation (GGA-PBE) of a relaxed Cs2AgSnBr6 crystal.

The space group is R-3m (No. 166, hexagonal axes) and the conventional cell measures 7.8586, 7.8586 and 40.0908 Å, with angles of 90.00, 90.00 and 120.00 degrees. The distinct sites, in fractional coordinates, are Cs at (0.0000, 0.0000, 0.1239), Cs at (0.0000, 0.0000, 0.2922), Ag at (0.0000, 0.0000, 0.4155), Sn at (0.0000, 0.0000, 0.0000), Sn at (0.0000, 0.0000, 0.5000), Br at (0.0003, 0.5001, 0.2934) and Br at (0.0067, 0.5034, 0.8751).

The calculation puts the energy above the most stable polymorph in this dataset at 0.0210 eV per atom. For the total energy, the calculation gives -2.9488 eV/atom.